# AcMg3Ag2 PBE-GGA optimized geometry
data_AcMg3Ag2
_chemical_formula_sum 'Ac4 Mg12 Ag8'
_cell_length_a 17.1706
_cell_length_b 4.5276
_cell_length_c 8.7038
_cell_angle_alpha 90.00
_cell_angle_beta 116.69
_cell_angle_gamma 90.00
_symmetry_space_group_name_H-M 'C 1 2/m 1'
_symmetry_Int_Tables_number 12
_symmetry_space_group_name_Hall '-C 2y'
loop_
_atom_site_label
_atom_site_fract_x
_atom_site_fract_y
_atom_site_fract_z
Ac1 0.1458 0.0000 0.0622
Mg1 0.0447 0.0000 0.3786
Mg2 0.0973 0.5000 0.6865
Mg3 0.1857 0.5000 0.4527
Ag1 0.0201 0.5000 0.1730
Ag2 0.1989 0.0000 0.6979
# ΔE_f: -201 meV per atom
# DOS(E_F): 15.07 states/eV per cell
# ρ: 5.666 g/cm³
# Energy: -63.21 eV/cell
# Spin magnetization: 0.0 μB/cell


# LaAl2Re PBE-GGA optimized geometry
data_LaAl2Re
_chemical_formula_sum 'La3 Al6 Re3'
_cell_length_a 3.0517
_cell_length_b 3.0517
_cell_length_c 29.1654
_cell_angle_alpha 90.00
_cell_angle_beta 90.00
_cell_angle_gamma 120.00
_symmetry_space_group_name_H-M 'R -3 m'
_symmetry_Int_Tables_number 166
_symmetry_space_group_name_Hall '-R 3 2"'
loop_
_atom_site_label
_atom_site_fract_x
_atom_site_fract_y
_atom_site_fract_z
La1 0.0000 0.0000 0.0000
Al1 0.0000 0.0000 0.2340
Re1 0.0000 0.0000 0.5000
# ΔE_f: 147 meV per atom
# DOS(E_F): 7.22 states/eV per cell
# ρ: 8.028 g/cm³
# Energy: -72.82 eV/cell
# Spin magnetization: 1.6 μB/cell


# Th5In2C PBE-GGA optimized geometry
data_Th5In2C
_chemical_formula_sum 'Th20 In8 C4'
_cell_length_a 5.0810
_cell_length_b 17.3284
_cell_length_c 12.2028
_cell_angle_alpha 90.00
_cell_angle_beta 90.00
_cell_angle_gamma 90.00
_symmetry_space_group_name_H-M 'C m c m'
_symmetry_Int_Tables_number 63
_symmetry_space_group_name_Hall '-C 2c 2'
loop_
_atom_site_label
_atom_site_fract_x
_atom_site_fract_y
_atom_site_fract_z
Th1 0.0000 0.1182 0.1172
Th2 0.0000 0.2679 0.7500
Th3 0.0000 0.3127 0.0806
In1 0.0000 0.0700 0.6359
C1 0.0000 0.2297 0.2500
# ΔE_f: 186 meV per atom
# DOS(E_F): 37.02 states/eV per cell
# ρ: 8.666 g/cm³
# Energy: -201.24 eV/cell
# Spin magnetization: 0.0 μB/cell


# Pr3Dy2Sc PBE-GGA optimized geometry
data_Pr3Dy2Sc
_chemical_formula_sum 'Pr12 Dy8 Sc4'
_cell_length_a 9.4332
_cell_length_b 13.0876
_cell_length_c 6.4708
_cell_angle_alpha 90.00
_cell_angle_beta 90.00
_cell_angle_gamma 90.00
_symmetry_space_group_name_H-M 'C m c 21'
_symmetry_Int_Tables_number 36
_symmetry_space_group_name_Hall 'C 2c -2'
loop_
_atom_site_label
_atom_site_fract_x
_atom_site_fract_y
_atom_site_fract_z
Pr1 0.0000 0.0817 0.0000
Pr2 0.1782 0.4249 0.2485
Dy1 0.1836 0.3152 0.7660
Sc1 0.0000 0.1810 0.4688
# ΔE_f: 212 meV per atom
# DOS(E_F): 44.14 states/eV per cell
# ρ: 6.591 g/cm³
# Energy: -114.40 eV/cell
# Spin magnetization: 0.0 μB/cell


# MnCr2Tc PBE-GGA optimized geometry
data_MnCr2Tc
_chemical_formula_sum 'Mn1 Cr2 Tc1'
_cell_length_a 3.7031
_cell_length_b 3.7031
_cell_length_c 3.6212
_cell_angle_alpha 90.00
_cell_angle_beta 90.00
_cell_angle_gamma 90.00
_symmetry_space_group_name_H-M 'P 4/m m m'
_symmetry_Int_Tables_number 123
_symmetry_space_group_name_Hall '-P 4 2'
loop_
_atom_site_label
_atom_site_fract_x
_atom_site_fract_y
_atom_site_fract_z
Mn1 0.0000 0.0000 0.0000
Cr1 0.0000 0.5000 0.5000
Tc1 0.5000 0.5000 0.0000
# ΔE_f: 204 meV per atom
# DOS(E_F): 5.04 states/eV per cell
# ρ: 8.592 g/cm³
# Energy: -37.96 eV/cell
# Spin magnetization: 0.5 μB/cell


# LaEr2OsN4 PBE-GGA optimized geometry
data_LaEr2OsN4
_chemical_formula_sum 'La4 Er8 Os4 N16'
_cell_length_a 3.4531
_cell_length_b 11.7287
_cell_length_c 11.6055
_cell_angle_alpha 90.00
_cell_angle_beta 90.00
_cell_angle_gamma 90.00
_symmetry_space_group_name_H-M 'C m c m'
_symmetry_Int_Tables_number 63
_symmetry_space_group_name_Hall '-C 2c 2'
loop_
_atom_site_label
_atom_site_fract_x
_atom_site_fract_y
_atom_site_fract_z
La1 0.0000 0.1123 0.2500
Er1 0.0000 0.3688 0.0412
Os1 0.0000 0.1481 0.7500
N1 0.0000 0.0000 0.0000
N2 0.0000 0.2645 0.6234
N3 0.0000 0.4366 0.2500
# DOS(E_F): 11.31 states/eV per cell
# ρ: 10.170 g/cm³
# Energy: -266.68 eV/cell
# Spin magnetization: 0.0 μB/cell
# E_form (uncorrected): -1011 meV/atom


# SrB2RhO6 PBE-GGA optimized geometry
data_SrB2RhO6
_chemical_formula_sum 'Sr3 B6 Rh3 O18'
_cell_length_a 4.9376
_cell_length_b 4.9376
_cell_length_c 16.7449
_cell_angle_alpha 90.00
_cell_angle_beta 90.00
_cell_angle_gamma 120.00
_symmetry_space_group_name_H-M 'R -3'
_symmetry_Int_Tables_number 148
_symmetry_space_group_name_Hall '-R 3'
loop_
_atom_site_label
_atom_site_fract_x
_atom_site_fract_y
_atom_site_fract_z
Sr1 0.0000 0.0000 0.0000
B1 0.0000 0.0000 0.2308
Rh1 0.0000 0.0000 0.5000
O1 0.0341 0.4106 0.9025
# DOS(E_F): 18.98 states/eV per cell
# ρ: 4.342 g/cm³
# Energy: -217.90 eV/cell
# Spin magnetization: 3.1 μB/cell
# E_form (uncorrected): -2050 meV/atom


# Pm6Pr5Pb PBE-GGA optimized geometry
data_Pm6Pr5Pb
_chemical_formula_sum 'Pm12 Pr10 Pb2'
_cell_length_a 5.0723
_cell_length_b 10.3391
_cell_length_c 15.5885
_cell_angle_alpha 90.00
_cell_angle_beta 90.00
_cell_angle_gamma 90.00
_symmetry_space_group_name_H-M 'I m m m'
_symmetry_Int_Tables_number 71
_symmetry_space_group_name_Hall '-I 2 2'
loop_
_atom_site_label
_atom_site_fract_x
_atom_site_fract_y
_atom_site_fract_z
Pm1 0.0000 0.2420 0.0000
Pm2 0.0000 0.2565 0.3368
Pr1 0.0000 0.0000 0.1690
Pr2 0.0000 0.0000 0.5000
Pr3 0.0000 0.5000 0.1623
Pb1 0.0000 0.5000 0.5000
# ΔE_f: -71 meV per atom
# DOS(E_F): 30.76 states/eV per cell
# ρ: 7.238 g/cm³
# Energy: -113.93 eV/cell
# Spin magnetization: 0.0 μB/cell


# TcWS2Cl PBE-GGA optimized geometry
data_TcWS2Cl
_chemical_formula_sum 'Tc1 W1 S2 Cl1'
_cell_length_a 4.5780
_cell_length_b 4.5780
_cell_length_c 4.6108
_cell_angle_alpha 90.00
_cell_angle_beta 90.00
_cell_angle_gamma 90.00
_symmetry_space_group_name_H-M 'P 4/m m m'
_symmetry_Int_Tables_number 123
_symmetry_space_group_name_Hall '-P 4 2'
loop_
_atom_site_label
_atom_site_fract_x
_atom_site_fract_y
_atom_site_fract_z
Tc1 0.0000 0.0000 0.0000
W1 0.5000 0.5000 0.5000
S1 0.0000 0.5000 0.0000
Cl1 0.0000 0.0000 0.5000
# DOS(E_F): 7.45 states/eV per cell
# ρ: 6.554 g/cm³
# Energy: -26.86 eV/cell
# Spin magnetization: 0.3 μB/cell
# E_form (uncorrected): 1312 meV/atom


# Na2TaCuH PBE-GGA optimized geometry
data_Na2TaCuH
_chemical_formula_sum 'Na2 Ta1 Cu1 H1'
_cell_length_a 5.2935
_cell_length_b 5.2935
_cell_length_c 4.8163
_cell_angle_alpha 90.00
_cell_angle_beta 90.00
_cell_angle_gamma 90.00
_symmetry_space_group_name_H-M 'P 4/m m m'
_symmetry_Int_Tables_number 123
_symmetry_space_group_name_Hall '-P 4 2'
loop_
_atom_site_label
_atom_site_fract_x
_atom_site_fract_y
_atom_site_fract_z
Na1 0.0000 0.5000 0.0000
Ta1 0.0000 0.0000 0.5000
Cu1 0.0000 0.0000 0.0000
H1 0.5000 0.5000 0.5000
# DOS(E_F): 4.99 states/eV per cell
# ρ: 3.586 g/cm³
# Energy: -14.91 eV/cell
# Spin magnetization: 1.9 μB/cell


# Tb2Ce3Ir2 PBE-GGA optimized geometry
data_Tb2Ce3Ir2
_chemical_formula_sum 'Tb4 Ce6 Ir4'
_cell_length_a 11.3655
_cell_length_b 4.0765
_cell_length_c 8.6226
_cell_angle_alpha 90.00
_cell_angle_beta 114.83
_cell_angle_gamma 90.00
_symmetry_space_group_name_H-M 'C 1 2/m 1'
_symmetry_Int_Tables_number 12
_symmetry_space_group_name_Hall '-C 2y'
loop_
_atom_site_label
_atom_site_fract_x
_atom_site_fract_y
_atom_site_fract_z
Tb1 0.1516 0.0000 0.3047
Ce1 0.0000 0.5000 0.5000
Ce2 0.1580 0.5000 0.9567
Ir1 0.1628 0.0000 0.6801
# ΔE_f: -501 meV per atom
# DOS(E_F): 23.16 states/eV per cell
# ρ: 10.283 g/cm³
# Energy: -96.59 eV/cell
# Spin magnetization: 0.0 μB/cell


# Th2SnBRh6 PBE-GGA optimized geometry
data_Th2SnBRh6
_chemical_formula_sum 'Th4 Sn2 B2 Rh12'
_cell_length_a 5.7781
_cell_length_b 8.6209
_cell_length_c 7.4461
_cell_angle_alpha 90.00
_cell_angle_beta 90.00
_cell_angle_gamma 90.00
_symmetry_space_group_name_H-M 'P m m n'
_symmetry_Int_Tables_number 59
loop_
_symmetry_equiv_pos_as_xyz
'x,y,z'
'-x,-y,-z'
'-x+1/2,-y+1/2,z'
'x+1/2,y+1/2,-z'
'x+1/2,-y,-z'
'-x+1/2,y,z'
'-x,y+1/2,-z'
'x,-y+1/2,z'
loop_
_atom_site_label
_atom_site_fract_x
_atom_site_fract_y
_atom_site_fract_z
Th1 0.2500 0.0146 0.2415
Sn1 0.2500 0.7500 0.8312
B1 0.2500 0.2500 0.6765
Rh1 0.0066 0.2500 0.8828
Rh2 0.0096 0.7500 0.5161
Rh3 0.2500 0.0104 0.6402
# ΔE_f: -715 meV per atom
# DOS(E_F): 12.43 states/eV per cell
# ρ: 10.844 g/cm³
# Energy: -153.55 eV/cell
# Spin magnetization: 0.0 μB/cell


# ScZnGaOs PBE-GGA optimized geometry
data_ScZnGaOs
_chemical_formula_sum 'Sc4 Zn4 Ga4 Os4'
_cell_length_a 6.2859
_cell_length_b 6.2859
_cell_length_c 6.2859
_cell_angle_alpha 90.00
_cell_angle_beta 90.00
_cell_angle_gamma 90.00
_symmetry_space_group_name_H-M 'F -4 3 m'
_symmetry_Int_Tables_number 216
_symmetry_space_group_name_Hall 'F -4 2 3'
loop_
_atom_site_label
_atom_site_fract_x
_atom_site_fract_y
_atom_site_fract_z
Sc1 0.0000 0.0000 0.0000
Zn1 0.2500 0.2500 0.7500
Ga1 0.2500 0.2500 0.2500
Os1 0.0000 0.0000 0.5000
# ΔE_f: -274 meV per atom
# DOS(E_F): 12.28 states/eV per cell
# ρ: 9.903 g/cm³
# Energy: -91.83 eV/cell
# Spin magnetization: 0.0 μB/cell


# ReHg2TeO PBE-GGA optimized geometry
data_ReHg2TeO
_chemical_formula_sum 'Re1 Hg2 Te1 O1'
_cell_length_a 5.6050
_cell_length_b 5.6050
_cell_length_c 3.7269
_cell_angle_alpha 90.00
_cell_angle_beta 90.00
_cell_angle_gamma 90.00
_symmetry_space_group_name_H-M 'P 4/m m m'
_symmetry_Int_Tables_number 123
_symmetry_space_group_name_Hall '-P 4 2'
loop_
_atom_site_label
_atom_site_fract_x
_atom_site_fract_y
_atom_site_fract_z
Re1 0.0000 0.0000 0.0000
Hg1 0.0000 0.5000 0.0000
Te1 0.5000 0.5000 0.5000
O1 0.0000 0.0000 0.5000
# DOS(E_F): 4.27 states/eV per cell
# ρ: 10.367 g/cm³
# Energy: -20.69 eV/cell
# Spin magnetization: 1.1 μB/cell
# E_form (uncorrected): 91 meV/atom


# HoTm5Pb6 PBE-GGA optimized geometry
data_HoTm5Pb6
_chemical_formula_sum 'Ho2 Tm10 Pb12'
_cell_length_a 6.0661
_cell_length_b 15.2504
_cell_length_c 7.6272
_cell_angle_alpha 90.00
_cell_angle_beta 103.57
_cell_angle_gamma 90.00
_symmetry_space_group_name_H-M 'C 1 2/m 1'
_symmetry_Int_Tables_number 12
_symmetry_space_group_name_Hall '-C 2y'
loop_
_atom_site_label
_atom_site_fract_x
_atom_site_fract_y
_atom_site_fract_z
Ho1 0.0000 0.0000 0.0000
Tm1 0.0000 0.0000 0.5000
Tm2 0.0000 0.3325 0.0000
Tm3 0.0000 0.3346 0.5000
Pb1 0.9995 0.1673 0.2518
Pb2 0.0030 0.5000 0.2486
# ΔE_f: -384 meV per atom
# DOS(E_F): 14.33 states/eV per cell
# ρ: 10.908 g/cm³
# Energy: -107.58 eV/cell
# Spin magnetization: 0.0 μB/cell


# LaZn3Pd9 PBE-GGA optimized geometry
data_LaZn3Pd9
_chemical_formula_sum 'La2 Zn6 Pd18'
_cell_length_a 5.2280
_cell_length_b 12.9549
_cell_length_c 6.7274
_cell_angle_alpha 90.00
_cell_angle_beta 110.19
_cell_angle_gamma 90.00
_symmetry_space_group_name_H-M 'C 1 2/m 1'
_symmetry_Int_Tables_number 12
_symmetry_space_group_name_Hall '-C 2y'
loop_
_atom_site_label
_atom_site_fract_x
_atom_site_fract_y
_atom_site_fract_z
La1 0.0000 0.0000 0.0000
Zn1 0.0000 0.5000 0.5000
Zn2 0.2500 0.2500 0.0000
Pd1 0.0000 0.0000 0.5000
Pd2 0.1025 0.3875 0.2194
Pd3 0.1576 0.1770 0.3407
# ΔE_f: -513 meV per atom
# DOS(E_F): 9.39 states/eV per cell
# ρ: 10.041 g/cm³
# Energy: -124.31 eV/cell
# Spin magnetization: 0.0 μB/cell


# PrPtPb PBE-GGA optimized geometry
data_PrPtPb
_chemical_formula_sum 'Pr1 Pt1 Pb1'
_cell_length_a 4.8263
_cell_length_b 4.8263
_cell_length_c 3.7587
_cell_angle_alpha 90.00
_cell_angle_beta 90.00
_cell_angle_gamma 120.00
_symmetry_space_group_name_H-M 'P -6 m 2'
_symmetry_Int_Tables_number 187
_symmetry_space_group_name_Hall 'P -6 2'
loop_
_atom_site_label
_atom_site_fract_x
_atom_site_fract_y
_atom_site_fract_z
Pr1 0.0000 0.0000 0.0000
Pt1 0.3333 0.6667 0.5000
Pb1 0.6667 0.3333 0.5000
# ΔE_f: -736 meV per atom
# DOS(E_F): 0.43 states/eV per cell
# ρ: 11.896 g/cm³
# Energy: -16.74 eV/cell
# Spin magnetization: 0.0 μB/cell


# CaCu2AgAs2 PBE-GGA optimized geometry
data_CaCu2AgAs2
_chemical_formula_sum 'Ca1 Cu2 Ag1 As2'
_cell_length_a 4.1336
_cell_length_b 4.1336
_cell_length_c 7.5466
_cell_angle_alpha 90.00
_cell_angle_beta 90.00
_cell_angle_gamma 120.00
_symmetry_space_group_name_H-M 'P -3 m 1'
_symmetry_Int_Tables_number 164
_symmetry_space_group_name_Hall '-P 3 2"'
loop_
_atom_site_label
_atom_site_fract_x
_atom_site_fract_y
_atom_site_fract_z
Ca1 0.0000 0.0000 0.0000
Cu1 0.3333 0.6667 0.6892
Ag1 0.0000 0.0000 0.5000
As1 0.3333 0.6667 0.2526
# ΔE_f: -346 meV per atom
# DOS(E_F): 4.30 states/eV per cell
# ρ: 6.318 g/cm³
# Energy: -24.42 eV/cell
# Spin magnetization: 0.0 μB/cell


# ZnAuSe2 PBE-GGA optimized geometry
data_ZnAuSe2
_chemical_formula_sum 'Zn3 Au3 Se6'
_cell_length_a 4.0288
_cell_length_b 4.0288
_cell_length_c 19.1862
_cell_angle_alpha 90.00
_cell_angle_beta 90.00
_cell_angle_gamma 120.00
_symmetry_space_group_name_H-M 'R 3 m'
_symmetry_Int_Tables_number 160
_symmetry_space_group_name_Hall 'R 3 -2"'
loop_
_atom_site_label
_atom_site_fract_x
_atom_site_fract_y
_atom_site_fract_z
Zn1 0.0000 0.0000 0.0000
Au1 0.0000 0.0000 0.7640
Se1 0.0000 0.0000 0.2863
Se2 0.0000 0.0000 0.4838
# DOS(E_F): 8.34 states/eV per cell
# ρ: 7.764 g/cm³
# Energy: -35.56 eV/cell
# Spin magnetization: 0.0 μB/cell
# E_form (uncorrected): -83 meV/atom


# Li2ZnBiBr PBE-GGA optimized geometry
data_Li2ZnBiBr
_chemical_formula_sum 'Li2 Zn1 Bi1 Br1'
_cell_length_a 4.9318
_cell_length_b 4.9318
_cell_length_c 5.7113
_cell_angle_alpha 90.00
_cell_angle_beta 90.00
_cell_angle_gamma 90.00
_symmetry_space_group_name_H-M 'P 4/m m m'
_symmetry_Int_Tables_number 123
_symmetry_space_group_name_Hall '-P 4 2'
loop_
_atom_site_label
_atom_site_fract_x
_atom_site_fract_y
_atom_site_fract_z
Li1 0.0000 0.5000 0.0000
Zn1 0.0000 0.0000 0.0000
Bi1 0.5000 0.5000 0.5000
Br1 0.0000 0.0000 0.5000
# DOS(E_F): 4.56 states/eV per cell
# ρ: 4.401 g/cm³
# Energy: -9.59 eV/cell
# Spin magnetization: 0.0 μB/cell
# E_form (uncorrected): 213 meV/atom